{
  "formula": "PuIn12Rh6",
  "functional": "GGA-PBE",
  "state": "relaxed",
  "formation_enthalpy_0k_ev_per_atom": -0.24,
  "spacegroup": "No. 166",
  "mass_density_g_cm3": 9.07,
  "lattice_angstrom": [[6.253, 3.610, 3.027], [-6.253, 3.610, 3.027], [0.000, -7.221, 3.027]],
  "species": ["Pu", "In", "In", "In", "In", "In", "In", "In", "In", "In", "In", "In", "In", "Rh", "Rh", "Rh", "Rh", "Rh", "Rh"],
  "fractional_positions": [[0.000, 0.000, 0.000], [0.120, 0.500, 0.880], [0.120, 0.880, 0.500], [0.148, 0.406, 0.406], [0.406, 0.148, 0.406], [0.406, 0.406, 0.148], [0.500, 0.120, 0.880], [0.500, 0.880, 0.120], [0.594, 0.594, 0.852], [0.594, 0.852, 0.594], [0.852, 0.594, 0.594], [0.880, 0.120, 0.500], [0.880, 0.500, 0.120], [0.272, 0.272, 0.692], [0.272, 0.692, 0.272], [0.308, 0.728, 0.728], [0.692, 0.272, 0.272], [0.728, 0.308, 0.728], [0.728, 0.728, 0.308]]
}

=====

{
  "formula": "HfSiIrRu",
  "functional": "GGA-PBE",
  "state": "relaxed",
  "formation_energy_uncorrected_mev_per_atom": -650,
  "spacegroup": "No. 216",
  "mass_density_g_cm3": 13.59,
  "lattice_angstrom": [[0.000, 3.126, 3.126], [3.126, 0.000, 3.126], [3.126, 3.126, 0.000]],
  "species": ["Hf", "Si", "Ir", "Ru"],
  "fractional_positions": [[0.000, 0.000, 0.000], [0.500, 0.500, 0.500], [0.750, 0.750, 0.750], [0.250, 0.250, 0.250]]
}

=====

{
  "formula": "PuCu12Si6",
  "functional": "GGA-PBE",
  "state": "relaxed",
  "formation_energy_uncorrected_mev_per_atom": 34,
  "spacegroup": "No. 166",
  "mass_density_g_cm3": 7.25,
  "lattice_angstrom": [[5.249, 3.030, 2.820], [-5.249, 3.030, 2.820], [0.000, -6.061, 2.820]],
  "species": ["Pu", "Cu", "Cu", "Cu", "Cu", "Cu", "Cu", "Cu", "Cu", "Cu", "Cu", "Cu", "Cu", "Si", "Si", "Si", "Si", "Si", "Si"],
  "fractional_positions": [[0.000, 0.000, 0.000], [0.115, 0.500, 0.885], [0.115, 0.885, 0.500], [0.143, 0.400, 0.400], [0.400, 0.143, 0.400], [0.400, 0.400, 0.143], [0.500, 0.115, 0.885], [0.500, 0.885, 0.115], [0.600, 0.600, 0.857], [0.600, 0.857, 0.600], [0.857, 0.600, 0.600], [0.885, 0.115, 0.500], [0.885, 0.500, 0.115], [0.269, 0.269, 0.700], [0.269, 0.700, 0.269], [0.300, 0.731, 0.731], [0.700, 0.269, 0.269], [0.731, 0.300, 0.731], [0.731, 0.731, 0.300]]
}

=====

{
  "formula": "Y2NiMo",
  "functional": "GGA-PBE",
  "state": "relaxed",
  "formation_enthalpy_0k_ev_per_atom": 0.16,
  "spacegroup": "No. 99",
  "mass_density_g_cm3": 6.33,
  "lattice_angstrom": [[3.237, 0.000, 0.000], [0.000, 3.237, 0.000], [0.000, 0.000, 8.321]],
  "species": ["Y", "Y", "Ni", "Mo"],
  "fractional_positions": [[0.000, 0.000, 0.000], [0.500, 0.500, 0.375], [0.500, 0.500, 0.765], [0.000, 0.000, 0.626]]
}

=====

Number 1: E_tot -5.05 eV per atom. Number 2: E_tot -9.03 eV per atom. Number 3: E_tot -5.02 eV per atom. Number 4: E_tot -7.23 eV per atom.